Entry 1:
Material: Co2TcPt
Method: DFT, PBE
State: relaxed

Cell and atoms, written as CIF:
```
data_Co2TcPt
_cell_length_a 4.482
_cell_length_b 4.482
_cell_length_c 4.482
_cell_angle_alpha 130.19
_cell_angle_beta 130.19
_cell_angle_gamma 73.10
_space_group_name_H-M_alt 'P 1'
_space_group_IT_number 1
loop_
_space_group_symop_operation_xyz
'x,y,z'
loop_
_atom_site_label
_atom_site_type_symbol
_atom_site_fract_x
_atom_site_fract_y
_atom_site_fract_z
Co1 Co 0.250 0.750 0.500
Co2 Co 0.750 0.250 0.500
Tc1 Tc 0.000 0.000 0.000
Pt1 Pt 0.500 0.500 0.000
```

Results
magnetization: 0.4533 μB/atom
ΔE to the lowest computed polymorph: 0.029 eV/atom

---

Entry 2:
Material: Tm8PdPt5
Method: DFT, PBE
State: relaxed

Cell and atoms, written as CIF:
```
data_Tm8PdPt5
_cell_length_a 7.460
_cell_length_b 7.460
_cell_length_c 7.460
_cell_angle_alpha 109.45
_cell_angle_beta 109.45
_cell_angle_gamma 109.51
_space_group_name_H-M_alt 'P 1'
_space_group_IT_number 1
loop_
_space_group_symop_operation_xyz
'x,y,z'
loop_
_atom_site_label
_atom_site_type_symbol
_atom_site_fract_x
_atom_site_fract_y
_atom_site_fract_z
Tm1 Tm 0.000 0.121 0.749
Tm2 Tm 0.243 0.494 0.620
Tm3 Tm 0.372 0.251 0.251
Tm4 Tm 0.376 0.757 0.251
Tm5 Tm 0.506 0.125 0.749
Tm6 Tm 0.749 0.000 0.121
Tm7 Tm 0.875 0.624 0.380
Tm8 Tm 0.879 0.628 0.879
Pd1 Pd 0.500 0.500 0.000
Pt1 Pt 0.001 0.378 0.124
Pt2 Pt 0.123 0.999 0.377
Pt3 Pt 0.254 0.877 0.876
Pt4 Pt 0.622 0.746 0.623
Pt5 Pt 0.750 0.250 0.500
```

Results
magnetization: 0.0000 μB/atom
calculated total energy: -86.62 eV per cell

---

Entry 3:
Material: Tl2HgSb
Method: DFT, PBE
State: relaxed

Cell and atoms, written as CIF:
```
data_Tl2HgSb
_cell_length_a 3.511
_cell_length_b 4.425
_cell_length_c 7.597
_cell_angle_alpha 90.00
_cell_angle_beta 90.00
_cell_angle_gamma 90.00
_space_group_name_H-M_alt 'P 1'
_space_group_IT_number 1
loop_
_space_group_symop_operation_xyz
'x,y,z'
loop_
_atom_site_label
_atom_site_type_symbol
_atom_site_fract_x
_atom_site_fract_y
_atom_site_fract_z
Tl1 Tl 0.000 0.000 0.000
Tl2 Tl 0.500 0.500 0.296
Hg1 Hg 0.000 0.000 0.535
Sb1 Sb 0.500 0.500 0.758
```

Results
magnetization: 0.0000 μB/atom
energy relative to the elements, uncorrected: 0.15 eV per formula unit
ΔE to the lowest computed polymorph: 0.048 eV/atom

---

Entry 4:
Material: KGaH4
Method: DFT, PBE
State: relaxed

Cell and atoms, written as CIF:
```
data_KGaH4
_cell_length_a 6.400
_cell_length_b 6.400
_cell_length_c 6.400
_cell_angle_alpha 106.60
_cell_angle_beta 106.60
_cell_angle_gamma 115.37
_space_group_name_H-M_alt 'P 1'
_space_group_IT_number 1
loop_
_space_group_symop_operation_xyz
'x,y,z'
loop_
_atom_site_label
_atom_site_type_symbol
_atom_site_fract_x
_atom_site_fract_y
_atom_site_fract_z
K1 K 0.375 0.625 0.750
K2 K 0.625 0.375 0.250
Ga1 Ga 0.125 0.875 0.250
Ga2 Ga 0.875 0.125 0.750
H1 H 0.153 0.735 0.418
H2 H 0.182 0.265 0.918
H3 H 0.265 0.182 0.418
H4 H 0.265 0.847 0.082
H5 H 0.735 0.153 0.918
H6 H 0.735 0.818 0.582
H7 H 0.818 0.735 0.082
H8 H 0.847 0.265 0.582
```

Results
magnetization: 0.0000 μB/atom
calculated total energy: -37.18 eV per cell

---

Entry 5:
Material: YHg
Method: DFT, PBE
State: relaxed

Cell and atoms, written as CIF:
```
data_YHg
_cell_length_a 3.758
_cell_length_b 3.758
_cell_length_c 9.163
_cell_angle_alpha 90.00
_cell_angle_beta 90.00
_cell_angle_gamma 120.00
_space_group_name_H-M_alt 'P 1'
_space_group_IT_number 1
loop_
_space_group_symop_operation_xyz
'x,y,z'
loop_
_atom_site_label
_atom_site_type_symbol
_atom_site_fract_x
_atom_site_fract_y
_atom_site_fract_z
Y1 Y 0.333 0.667 0.250
Y2 Y 0.667 0.333 0.750
Hg1 Hg 0.000 0.000 0.000
Hg2 Hg 0.000 0.000 0.500
```

Results
magnetization: 0.0000 μB/atom
calculated total energy: -15.03 eV per cell

---

Entry 6:
Material: SrPrSn2
Method: DFT, PBE
State: relaxed

Cell and atoms, written as CIF:
```
data_SrPrSn2
_cell_length_a 10.098
_cell_length_b 10.098
_cell_length_c 10.098
_cell_angle_alpha 22.78
_cell_angle_beta 22.78
_cell_angle_gamma 22.78
_space_group_name_H-M_alt 'P 1'
_space_group_IT_number 1
loop_
_space_group_symop_operation_xyz
'x,y,z'
loop_
_atom_site_label
_atom_site_type_symbol
_atom_site_fract_x
_atom_site_fract_y
_atom_site_fract_z
Sr1 Sr 0.000 0.000 0.000
Pr1 Pr 0.500 0.500 0.500
Sn1 Sn 0.248 0.248 0.248
Sn2 Sn 0.752 0.752 0.752
```

Results
magnetization: 0.0000 μB/atom
calculated total energy: -16.22 eV per cell

---

Entry 7:
Material: Pa3Fe8Os
Method: DFT, PBE
State: relaxed

Cell and atoms, written as CIF:
```
data_Pa3Fe8Os
_cell_length_a 8.636
_cell_length_b 8.636
_cell_length_c 8.636
_cell_angle_alpha 33.35
_cell_angle_beta 33.35
_cell_angle_gamma 33.35
_space_group_name_H-M_alt 'P 1'
_space_group_IT_number 1
loop_
_space_group_symop_operation_xyz
'x,y,z'
loop_
_atom_site_label
_atom_site_type_symbol
_atom_site_fract_x
_atom_site_fract_y
_atom_site_fract_z
Pa1 Pa 0.000 0.000 0.000
Pa2 Pa 0.132 0.132 0.132
Pa3 Pa 0.510 0.510 0.510
Fe1 Fe 0.063 0.566 0.566
Fe2 Fe 0.070 0.070 0.571
Fe3 Fe 0.070 0.571 0.070
Fe4 Fe 0.316 0.316 0.316
Fe5 Fe 0.566 0.063 0.566
Fe6 Fe 0.566 0.566 0.063
Fe7 Fe 0.571 0.070 0.070
Fe8 Fe 0.818 0.818 0.818
Os1 Os 0.630 0.630 0.630
```

Results
magnetization: 0.8981 μB/atom
calculated total energy: -108.54 eV per cell

---

Entry 8:
Material: KIrOs2
Method: DFT, PBE
State: relaxed

Cell and atoms, written as CIF:
```
data_KIrOs2
_cell_length_a 2.738
_cell_length_b 2.738
_cell_length_c 10.311
_cell_angle_alpha 90.00
_cell_angle_beta 90.00
_cell_angle_gamma 118.23
_space_group_name_H-M_alt 'P 1'
_space_group_IT_number 1
loop_
_space_group_symop_operation_xyz
'x,y,z'
loop_
_atom_site_label
_atom_site_type_symbol
_atom_site_fract_x
_atom_site_fract_y
_atom_site_fract_z
K1 K 0.000 0.000 0.000
Ir1 Ir 0.500 0.500 0.726
Os1 Os 0.000 0.000 0.503
Os2 Os 0.500 0.500 0.287
```

Results
magnetization: 0.1841 μB/atom
ΔE to the lowest computed polymorph: 0.221 eV/atom

---

Entry 9:
Material: CoOs
Method: DFT, PBE
State: relaxed

Cell and atoms, written as CIF:
```
data_CoOs
_cell_length_a 4.522
_cell_length_b 4.522
_cell_length_c 4.522
_cell_angle_alpha 131.99
_cell_angle_beta 131.99
_cell_angle_gamma 70.25
_space_group_name_H-M_alt 'P 1'
_space_group_IT_number 1
loop_
_space_group_symop_operation_xyz
'x,y,z'
loop_
_atom_site_label
_atom_site_type_symbol
_atom_site_fract_x
_atom_site_fract_y
_atom_site_fract_z
Co1 Co 0.375 0.625 0.750
Co2 Co 0.625 0.375 0.250
Os1 Os 0.125 0.875 0.250
Os2 Os 0.875 0.125 0.750
```

Results
magnetization: 0.4402 μB/atom
calculated total energy: -36.18 eV per cell

---

Entry 10:
Material: NaCuO2
Method: DFT, PBE
State: relaxed

Cell and atoms, written as CIF:
```
data_NaCuO2
_cell_length_a 5.555
_cell_length_b 5.555
_cell_length_c 5.555
_cell_angle_alpha 31.76
_cell_angle_beta 31.76
_cell_angle_gamma 31.76
_space_group_name_H-M_alt 'P 1'
_space_group_IT_number 1
loop_
_space_group_symop_operation_xyz
'x,y,z'
loop_
_atom_site_label
_atom_site_type_symbol
_atom_site_fract_x
_atom_site_fract_y
_atom_site_fract_z
Na1 Na 0.000 0.000 0.000
Cu1 Cu 0.500 0.500 0.500
O1 O 0.233 0.233 0.233
O2 O 0.767 0.767 0.767
```

Results
magnetization: 0.5000 μB/atom
energy relative to the elements, uncorrected: -3.48 eV per formula unit

---

Entry 11:
Material: ZnIrCl2
Method: DFT, PBE
State: relaxed

Cell and atoms, written as CIF:
```
data_ZnIrCl2
_cell_length_a 3.939
_cell_length_b 3.135
_cell_length_c 7.606
_cell_angle_alpha 90.00
_cell_angle_beta 101.53
_cell_angle_gamma 90.00
_space_group_name_H-M_alt 'P 1'
_space_group_IT_number 1
loop_
_space_group_symop_operation_xyz
'x,y,z'
loop_
_atom_site_label
_atom_site_type_symbol
_atom_site_fract_x
_atom_site_fract_y
_atom_site_fract_z
Zn1 Zn 0.000 0.000 0.000
Ir1 Ir 0.537 0.500 0.087
Cl1 Cl 0.306 0.500 0.777
Cl2 Cl 0.659 0.000 0.339
```

Results
magnetization: 0.2068 μB/atom
energy relative to the elements, uncorrected: -0.45 eV per formula unit
ΔE to the lowest computed polymorph: 0.096 eV/atom

---

Entry 12:
Material: LaTbSnPb
Method: DFT, PBE
State: relaxed

Cell and atoms, written as CIF:
```
data_LaTbSnPb
_cell_length_a 5.531
_cell_length_b 5.531
_cell_length_c 5.531
_cell_angle_alpha 60.00
_cell_angle_beta 60.00
_cell_angle_gamma 60.00
_space_group_name_H-M_alt 'P 1'
_space_group_IT_number 1
loop_
_space_group_symop_operation_xyz
'x,y,z'
loop_
_atom_site_label
_atom_site_type_symbol
_atom_site_fract_x
_atom_site_fract_y
_atom_site_fract_z
La1 La 0.000 0.000 0.000
Tb1 Tb 0.500 0.500 0.500
Sn1 Sn 0.750 0.750 0.750
Pb1 Pb 0.250 0.250 0.250
```

Results
magnetization: 0.0039 μB/atom
calculated total energy: -19.35 eV per cell

---

Entry 13:
Material: Cs2CeCoS4
Method: DFT, PBE
State: relaxed

Cell and atoms, written as CIF:
```
data_Cs2CeCoS4
_cell_length_a 14.974
_cell_length_b 13.413
_cell_length_c 7.955
_cell_angle_alpha 84.90
_cell_angle_beta 63.15
_cell_angle_gamma 31.95
_space_group_name_H-M_alt 'P 1'
_space_group_IT_number 1
loop_
_space_group_symop_operation_xyz
'x,y,z'
loop_
_atom_site_label
_atom_site_type_symbol
_atom_site_fract_x
_atom_site_fract_y
_atom_site_fract_z
Cs1 Cs 0.054 0.054 0.696
Cs2 Cs 0.304 0.304 0.946
Cs3 Cs 0.696 0.696 0.054
Cs4 Cs 0.946 0.946 0.304
Ce1 Ce 0.125 0.125 0.125
Ce2 Ce 0.875 0.875 0.875
Co1 Co 0.375 0.375 0.375
Co2 Co 0.625 0.625 0.625
S1 S 0.022 0.631 0.539
S2 S 0.308 0.539 0.631
S3 S 0.369 0.978 0.692
S4 S 0.461 0.692 0.978
S5 S 0.539 0.308 0.022
S6 S 0.631 0.022 0.308
S7 S 0.692 0.461 0.369
S8 S 0.978 0.369 0.461
```

Results
magnetization: 0.3580 μB/atom
energy relative to the elements, uncorrected: -8.47 eV per formula unit

---

Entry 14:
Material: Cd4IrW
Method: DFT, PBE
State: relaxed

Cell and atoms, written as CIF:
```
data_Cd4IrW
_cell_length_a 5.442
_cell_length_b 5.442
_cell_length_c 5.442
_cell_angle_alpha 60.00
_cell_angle_beta 60.00
_cell_angle_gamma 60.00
_space_group_name_H-M_alt 'P 1'
_space_group_IT_number 1
loop_
_space_group_symop_operation_xyz
'x,y,z'
loop_
_atom_site_label
_atom_site_type_symbol
_atom_site_fract_x
_atom_site_fract_y
_atom_site_fract_z
Cd1 Cd 0.125 0.125 0.125
Cd2 Cd 0.125 0.125 0.625
Cd3 Cd 0.125 0.625 0.125
Cd4 Cd 0.625 0.125 0.125
Ir1 Ir 0.750 0.750 0.750
W1 W 0.500 0.500 0.500
```

Results
magnetization: 0.5056 μB/atom
calculated total energy: -20.37 eV per cell

---

Entry 15:
Material: Nd2IBr5
Method: DFT, PBE
State: relaxed

Cell and atoms, written as CIF:
```
data_Nd2IBr5
_cell_length_a 7.768
_cell_length_b 7.768
_cell_length_c 7.768
_cell_angle_alpha 142.93
_cell_angle_beta 109.83
_cell_angle_gamma 82.12
_space_group_name_H-M_alt 'P 1'
_space_group_IT_number 1
loop_
_space_group_symop_operation_xyz
'x,y,z'
loop_
_atom_site_label
_atom_site_type_symbol
_atom_site_fract_x
_atom_site_fract_y
_atom_site_fract_z
Nd1 Nd 0.244 0.244 0.000
Nd2 Nd 0.756 0.756 0.000
I1 I 0.500 0.000 0.500
Br1 Br 0.000 0.000 0.000
Br2 Br 0.023 0.336 0.688
Br3 Br 0.352 0.664 0.688
Br4 Br 0.648 0.336 0.312
Br5 Br 0.977 0.664 0.312
```

Results
magnetization: 0.0000 μB/atom
energy relative to the elements, uncorrected: -13.04 eV per formula unit

---

Entry 16:
Material: ZnRh2Au
Method: DFT, PBE
State: relaxed

Cell and atoms, written as CIF:
```
data_ZnRh2Au
_cell_length_a 5.297
_cell_length_b 5.297
_cell_length_c 5.297
_cell_angle_alpha 148.28
_cell_angle_beta 128.27
_cell_angle_gamma 61.97
_space_group_name_H-M_alt 'P 1'
_space_group_IT_number 1
loop_
_space_group_symop_operation_xyz
'x,y,z'
loop_
_atom_site_label
_atom_site_type_symbol
_atom_site_fract_x
_atom_site_fract_y
_atom_site_fract_z
Zn1 Zn 0.000 0.000 0.000
Rh1 Rh 0.239 0.739 0.500
Rh2 Rh 0.485 0.485 0.000
Au1 Au 0.753 0.253 0.500
```

Results
magnetization: 0.0017 μB/atom
calculated total energy: -19.30 eV per cell

---

Entry 17:
Material: CaPaZnSn
Method: DFT, PBE
State: relaxed

Cell and atoms, written as CIF:
```
data_CaPaZnSn
_cell_length_a 5.233
_cell_length_b 5.233
_cell_length_c 5.233
_cell_angle_alpha 60.00
_cell_angle_beta 60.00
_cell_angle_gamma 60.00
_space_group_name_H-M_alt 'P 1'
_space_group_IT_number 1
loop_
_space_group_symop_operation_xyz
'x,y,z'
loop_
_atom_site_label
_atom_site_type_symbol
_atom_site_fract_x
_atom_site_fract_y
_atom_site_fract_z
Ca1 Ca 0.000 0.000 0.000
Pa1 Pa 0.500 0.500 0.500
Zn1 Zn 0.250 0.250 0.250
Sn1 Sn 0.750 0.750 0.750
```

Results
magnetization: 0.2378 μB/atom
calculated total energy: -17.14 eV per cell

---

Entry 18:
Material: AgW
Method: DFT, PBE
State: relaxed

Cell and atoms, written as CIF:
```
data_AgW
_cell_length_a 5.311
_cell_length_b 5.311
_cell_length_c 5.501
_cell_angle_alpha 90.00
_cell_angle_beta 90.00
_cell_angle_gamma 90.00
_space_group_name_H-M_alt 'P 1'
_space_group_IT_number 1
loop_
_space_group_symop_operation_xyz
'x,y,z'
loop_
_atom_site_label
_atom_site_type_symbol
_atom_site_fract_x
_atom_site_fract_y
_atom_site_fract_z
Ag1 Ag 0.176 0.176 0.000
Ag2 Ag 0.324 0.676 0.500
Ag3 Ag 0.676 0.324 0.500
Ag4 Ag 0.824 0.824 0.000
W1 W 0.159 0.159 0.500
W2 W 0.341 0.659 0.000
W3 W 0.659 0.341 0.000
W4 W 0.841 0.841 0.500
```

Results
magnetization: 0.0000 μB/atom
ΔE to the lowest computed polymorph: 1.250 eV/atom

---

Entry 19:
Material: BeGaF
Method: DFT, PBE
State: relaxed

Cell and atoms, written as CIF:
```
data_BeGaF
_cell_length_a 2.553
_cell_length_b 2.839
_cell_length_c 7.059
_cell_angle_alpha 80.28
_cell_angle_beta 80.16
_cell_angle_gamma 73.80
_space_group_name_H-M_alt 'P 1'
_space_group_IT_number 1
loop_
_space_group_symop_operation_xyz
'x,y,z'
loop_
_atom_site_label
_atom_site_type_symbol
_atom_site_fract_x
_atom_site_fract_y
_atom_site_fract_z
Be1 Be 0.000 0.000 0.000
Ga1 Ga 0.892 0.401 0.302
F1 F 0.549 0.043 0.867
```

Results
magnetization: 0.0000 μB/atom
energy relative to the elements, uncorrected: -3.62 eV per formula unit
ΔE to the lowest computed polymorph: 0.101 eV/atom

---

Entry 20:
Material: MoPtSe2
Method: DFT, PBE
State: relaxed

Cell and atoms, written as CIF:
```
data_MoPtSe2
_cell_length_a 4.609
_cell_length_b 4.609
_cell_length_c 4.609
_cell_angle_alpha 60.00
_cell_angle_beta 60.00
_cell_angle_gamma 60.00
_space_group_name_H-M_alt 'P 1'
_space_group_IT_number 1
loop_
_space_group_symop_operation_xyz
'x,y,z'
loop_
_atom_site_label
_atom_site_type_symbol
_atom_site_fract_x
_atom_site_fract_y
_atom_site_fract_z
Mo1 Mo 0.000 0.000 0.000
Pt1 Pt 0.750 0.750 0.750
Se1 Se 0.250 0.250 0.250
Se2 Se 0.500 0.500 0.500
```

Results
magnetization: 0.0001 μB/atom
energy relative to the elements, uncorrected: 2.02 eV per formula unit
ΔE to the lowest computed polymorph: 0.642 eV/atom